A geometry-optimized Sr2BP2Ru2 structure, computed with PBE.

Computed properties:
- ΔE_f: -0.7529 eV per atom

Geometry as POSCAR:
```
Sr2BP2Ru2
1.0
11.3906 0.0000 0.0000
0.0000 4.0998 0.0000
-4.1909 0.0000 5.9348
Sr B P Ru
4 2 4 4
Direct
0.0633 0.0000 0.3214
0.4367 0.5000 0.6786
0.5633 0.5000 0.3214
0.9367 0.0000 0.6786
0.0000 0.5000 0.0000
0.5000 0.0000 0.0000
0.1955 0.5000 0.7517
0.3045 0.0000 0.2483
0.6955 0.0000 0.7517
0.8045 0.5000 0.2483
0.1955 0.5000 0.0762
0.3045 0.0000 0.9238
0.6955 0.0000 0.0762
0.8045 0.5000 0.9238
```